(1)
The following is a GGA-PBE calculation of a relaxed structure of ZnCu6Pt, from Alexandria via LeMat-Bulk.

Values from the calculation:
For the formation energy, the calculation gives -0.11 eV/atom. For the spin magnetization, the calculation gives 0.00 Bohr magnetons per cell. For the total energy, the calculation gives -4.097 eV/atom. The space group is P4/mmm (123). The calculation puts the energy relative to the lowest polymorph listed for this composition at 0 meV per atom.

a = 5.250 Å, b = 5.250 Å, c = 3.690 Å
α = 90.00°, β = 90.00°, γ = 90.00°
Fractional coordinates of all 8 atoms:
Zn 0.000 0.000 0.000
Cu 0.000 0.500 0.000
Cu 0.246 0.246 0.500
Cu 0.246 0.754 0.500
Cu 0.500 0.000 0.000
Cu 0.754 0.246 0.500
Cu 0.754 0.754 0.500
Pt 0.500 0.500 0.000

***

(2)
The following is a GGA-PBE calculation of a relaxed structure of CsLiPrBr5, from Alexandria via LeMat-Bulk.

Values from the calculation:
For the spin magnetization, the calculation gives 0.00 Bohr magnetons per cell. For the total energy, the calculation gives -3.770 eV/atom. For the uncorrected formation energy, the calculation gives -1.7814 eV per atom. The space group is C2/c (15).

a = 8.254 Å, b = 8.254 Å, c = 11.057 Å
α = 103.80°, β = 103.80°, γ = 106.95°
Fractional coordinates of all 16 atoms:
Cs 0.156 0.844 0.750
Cs 0.844 0.156 0.250
Li 0.192 0.808 0.250
Li 0.808 0.192 0.750
Pr 0.500 0.500 0.000
Pr 0.500 0.500 0.500
Br 0.124 0.263 0.917
Br 0.199 0.604 0.394
Br 0.263 0.124 0.417
Br 0.396 0.801 0.106
Br 0.426 0.574 0.750
Br 0.574 0.426 0.250
Br 0.604 0.199 0.894
Br 0.737 0.876 0.583
Br 0.801 0.396 0.606
Br 0.876 0.737 0.083